PmY3Hg12: relaxed, GGA-PBE.

Results
DOS(E_F) ... 10.6 states/eV per cell
Total moment ... 0.00 μB per formula unit
DFT formation energy ... -335 meV per atom

```
data_PmY3Hg12
_chemical_formula_sum 'Pm1 Y3 Hg12'
_space_group_name_H-M_alt 'P 1'
_space_group_IT_number 1
_cell_length_a 4.5468
_cell_length_b 4.5468
_cell_length_c 19.2458
_cell_angle_alpha 90.00
_cell_angle_beta 90.00
_cell_angle_gamma 90.00
loop_
_space_group_symop_operation_xyz
'x,y,z'
loop_
_atom_site_label
_atom_site_type_symbol
_atom_site_fract_x
_atom_site_fract_y
_atom_site_fract_z
Pm1 Pm 0.0000 0.0000 0.0000
Y1 Y 0.0000 0.0000 0.2521
Y2 Y 0.0000 0.0000 0.5000
Y3 Y 0.0000 0.0000 0.7479
Hg1 Hg 0.5000 0.5000 0.0000
Hg2 Hg 0.5000 0.5000 0.2517
Hg3 Hg 0.5000 0.5000 0.5000
Hg4 Hg 0.5000 0.5000 0.7483
Hg5 Hg 0.5000 0.0000 0.1274
Hg6 Hg 0.5000 0.0000 0.3758
Hg7 Hg 0.5000 0.0000 0.6242
Hg8 Hg 0.5000 0.0000 0.8726
Hg9 Hg 0.0000 0.5000 0.1274
Hg10 Hg 0.0000 0.5000 0.3758
Hg11 Hg 0.0000 0.5000 0.6242
Hg12 Hg 0.0000 0.5000 0.8726
```

Pr3Tm2Hg2: relaxed, GGA-PBE.

Results
DOS(E_F) ... 8.4 states/eV per cell
Total moment ... 0.40 μB per formula unit
DFT formation energy ... -121 meV per atom

```
data_Pr3Tm2Hg2
_chemical_formula_sum 'Pr3 Tm2 Hg2'
_space_group_name_H-M_alt 'P 1'
_space_group_IT_number 1
_cell_length_a 5.0432
_cell_length_b 3.5753
_cell_length_c 11.8061
_cell_angle_alpha 90.00
_cell_angle_beta 77.67
_cell_angle_gamma 90.00
loop_
_space_group_symop_operation_xyz
'x,y,z'
loop_
_atom_site_label
_atom_site_type_symbol
_atom_site_fract_x
_atom_site_fract_y
_atom_site_fract_z
Pr1 Pr 0.8530 0.0000 0.2940
Pr2 Pr 0.0000 0.0000 0.0000
Pr3 Pr 0.1470 0.0000 0.7060
Tm1 Tm 0.7094 0.5000 0.5812
Tm2 Tm 0.2906 0.5000 0.4188
Hg1 Hg 0.5717 0.5000 0.8565
Hg2 Hg 0.4283 0.5000 0.1435
```

TbNpNbN3: relaxed, GGA-PBE.

Results
Calculated total energy ... -0.716 Ry per atom
DOS(E_F) ... 15.1 states/eV per cell
Total moment ... 3.41 μB per formula unit

```
data_TbNpNbN3
_chemical_formula_sum 'Tb2 Np2 Nb2 N6'
_space_group_name_H-M_alt 'P 1'
_space_group_IT_number 1
_cell_length_a 3.2788
_cell_length_b 7.0820
_cell_length_c 8.1104
_cell_angle_alpha 90.93
_cell_angle_beta 90.00
_cell_angle_gamma 90.00
loop_
_space_group_symop_operation_xyz
'x,y,z'
loop_
_atom_site_label
_atom_site_type_symbol
_atom_site_fract_x
_atom_site_fract_y
_atom_site_fract_z
Tb1 Tb 0.7500 0.8675 0.8285
Tb2 Tb 0.2500 0.1325 0.1715
Np1 Np 0.2500 0.6268 0.1540
Np2 Np 0.7500 0.3732 0.8460
Nb1 Nb 0.2500 0.1405 0.5648
Nb2 Nb 0.7500 0.8595 0.4352
N1 N 0.2500 0.8375 0.5994
N2 N 0.7500 0.8601 0.1491
N3 N 0.7500 0.3919 0.1073
N4 N 0.7500 0.1625 0.4006
N5 N 0.2500 0.6081 0.8927
N6 N 0.2500 0.1399 0.8509
```

RbZr2Cu: relaxed, GGA-PBE.

Results
DOS(E_F) ... 9.8 states/eV per cell
Total moment ... 0.00 μB per formula unit
DFT formation energy ... 1183 meV per atom

```
data_RbZr2Cu
_chemical_formula_sum 'Rb2 Zr4 Cu2'
_space_group_name_H-M_alt 'P 1'
_space_group_IT_number 1
_cell_length_a 5.4848
_cell_length_b 5.4848
_cell_length_c 10.0619
_cell_angle_alpha 74.18
_cell_angle_beta 74.18
_cell_angle_gamma 90.00
loop_
_space_group_symop_operation_xyz
'x,y,z'
loop_
_atom_site_label
_atom_site_type_symbol
_atom_site_fract_x
_atom_site_fract_y
_atom_site_fract_z
Cu1 Cu 0.5000 0.5000 0.0000
Cu2 Cu 0.2500 0.7500 0.5000
Rb1 Rb 0.0000 0.0000 0.0000
Rb2 Rb 0.7500 0.2500 0.5000
Zr1 Zr 0.3750 0.1250 0.2500
Zr2 Zr 0.3750 0.6250 0.2500
Zr3 Zr 0.3750 0.6250 0.7500
Zr4 Zr 0.8750 0.6250 0.7500
```